AsP2S2 | GGA-PBE | optimized geometry

```
AsP2S2
1.0
4.5752 0.0000 0.0000
0.0000 4.5752 0.0000
0.0000 0.0000 4.4365
As P S
1 2 2
Cartesian
0.0000 0.0000 0.0000 As
0.0000 2.2876 2.2182 P
2.2876 0.0000 2.2182 P
2.2876 2.2876 0.0000 S
2.2876 2.2876 2.2182 S
```

Computed properties:
Energy relative to the elements, uncorrected ... 0.967 eV/atom